First-principles (PBE-GGA) data for a geometry-optimized LaSN2O structure, as listed in Alexandria.

Results
Space group   P4/mmm, No. 123
Uncorrected formation energy   -0.358 eV per atom

Cell lengths 3.7261, 3.7261, 4.1732 Å; angles 90.00, 90.00, 90.00 degrees
Fractional positions:
1 S 0.0000 0.0000 0.0000
2 N 0.0000 0.5000 0.0000
3 N 0.5000 0.0000 0.0000
4 O 0.0000 0.0000 0.5000
5 La 0.5000 0.5000 0.5000

***

First-principles (PBE-GGA) data for a geometry-optimized LaScN2O structure, as listed in Alexandria.

Results
Space group   P4/mmm, No. 123
Uncorrected formation energy   -1.326 eV per atom

Cell lengths 4.0786, 4.0786, 4.1126 Å; angles 90.00, 90.00, 90.00 degrees
Fractional positions:
1 Sc 0.0000 0.0000 0.0000
2 N 0.0000 0.5000 0.0000
3 N 0.5000 0.0000 0.0000
4 O 0.0000 0.0000 0.5000
5 La 0.5000 0.5000 0.5000

***

First-principles (PBE-GGA) data for a geometry-optimized LaScN2O structure, as listed in Alexandria.

Results
Space group   P4/mmm, No. 123
Uncorrected formation energy   -0.161 eV per atom

Cell lengths 4.2799, 4.2799, 4.5059 Å; angles 90.00, 90.00, 90.00 degrees
Fractional positions:
1 Sc 0.5000 0.5000 0.5000
2 N 0.0000 0.5000 0.0000
3 N 0.5000 0.0000 0.0000
4 O 0.0000 0.0000 0.5000
5 La 0.0000 0.0000 0.0000

***

First-principles (PBE-GGA) data for a geometry-optimized LaScNO2 structure, as listed in Alexandria.

Results
Space group   P4/mmm, No. 123
Uncorrected formation energy   -0.962 eV per atom

Cell lengths 4.5075, 4.5075, 4.3180 Å; angles 90.00, 90.00, 90.00 degrees
Fractional positions:
1 Sc 0.5000 0.5000 0.5000
2 N 0.0000 0.0000 0.5000
3 O 0.0000 0.5000 0.0000
4 O 0.5000 0.0000 0.0000
5 La 0.0000 0.0000 0.0000

***

First-principles (PBE-GGA) data for a geometry-optimized LaScNO2 structure, as listed in Alexandria.

Results
Space group   P4/mmm, No. 123
Uncorrected formation energy   -2.293 eV per atom

Cell lengths 4.0799, 4.0799, 4.1632 Å; angles 90.00, 90.00, 90.00 degrees
Fractional positions:
1 Sc 0.0000 0.0000 0.0000
2 N 0.0000 0.0000 0.5000
3 O 0.0000 0.5000 0.0000
4 O 0.5000 0.0000 0.0000
5 La 0.5000 0.5000 0.5000

***

First-principles (PBE-GGA) data for a geometry-optimized LaSe2NO structure, as listed in Alexandria.

Results
Space group   P4/mmm, No. 123
Uncorrected formation energy   0.952 eV per atom
Relative energy among the computed polymorphs   965 meV/atom

Cell lengths 6.0913, 6.0913, 4.2982 Å; angles 90.00, 90.00, 90.00 degrees
Fractional positions:
1 N 0.0000 0.0000 0.5000
2 O 0.5000 0.5000 0.5000
3 Se 0.0000 0.5000 0.0000
4 Se 0.5000 0.0000 0.0000
5 La 0.0000 0.0000 0.0000

***

Computed values of calculated total energy (unit: Ha/atom) for the preceding records, in sequence: -0.2385 -0.2903 -0.2475 -0.2522 -0.3011 -0.1501.
Computed values of N(E_F) (unit: states/eV/atom) for the preceding records, in sequence: 0.226 0.903 0.091 0.480 0.456 1.704.